## A
Entry from the Open Quantum Materials Database: a geometry-optimized LiHfTe3Au structure (GGA-PBE).

Summary:
- space group = Pnma, No. 62
- magnetization (μB/f.u.) = 0.00

Lattice parameters (Å, degrees): 12.3198 4.0403 12.9430 90.00 90.00 90.00
Fractional positions:
Au 0.2792 0.0000 0.2413
Au 0.7792 0.5000 0.2587
Au 0.2208 0.0000 0.7413
Au 0.7208 0.5000 0.7587
Hf 0.6699 0.0000 0.0789
Hf 0.1699 0.5000 0.4211
Hf 0.8301 0.0000 0.5789
Hf 0.3301 0.5000 0.9211
Li 0.9331 0.0000 0.2265
Li 0.4331 0.5000 0.2735
Li 0.5669 0.0000 0.7265
Li 0.0669 0.5000 0.7735
Te 0.8406 0.5000 0.0574
Te 0.4160 0.0000 0.0719
Te 0.1207 0.5000 0.2121
Te 0.6207 0.0000 0.2879
Te 0.9160 0.5000 0.4281
Te 0.3406 0.0000 0.4426
Te 0.6594 0.5000 0.5574
Te 0.0840 0.0000 0.5719
Te 0.3793 0.5000 0.7121
Te 0.8793 0.0000 0.7879
Te 0.5840 0.5000 0.9281
Te 0.1594 0.0000 0.9426

## B
Entry from the Open Quantum Materials Database: a geometry-optimized LiHfTe3Au structure (GGA-PBE).

Summary:
- space group = P2_1/m, No. 11
- magnetization (μB/f.u.) = 0.01

Lattice parameters (Å, degrees): 8.0329 4.0646 9.9362 90.00 105.09 90.00
Fractional positions:
Au 0.1013 0.2500 0.0946
Au 0.8987 0.7500 0.9054
Hf 0.3078 0.7500 0.3131
Hf 0.6922 0.2500 0.6869
Li 0.7338 0.7500 0.2099
Li 0.2662 0.2500 0.7901
Te 0.3045 0.7500 0.0224
Te 0.0715 0.2500 0.3609
Te 0.5817 0.2500 0.3696
Te 0.4183 0.7500 0.6304
Te 0.9285 0.7500 0.6391
Te 0.6955 0.2500 0.9776

## C
Entry from the Open Quantum Materials Database: a geometry-optimized LiHfTe3Au structure (GGA-PBE).

Summary:
- space group = Cmcm, No. 63
- magnetization (μB/f.u.) = 0.00

Lattice parameters (Å, degrees): 7.6796 7.6796 10.8771 90.00 90.00 149.60
Fractional positions:
Au 0.5348 0.4652 0.2500
Au 0.4652 0.5348 0.7500
Hf 0.0000 0.0000 0.0000
Hf 0.0000 0.0000 0.5000
Li 0.1661 0.8339 0.2500
Li 0.8339 0.1661 0.7500
Te 0.6402 0.3598 0.0436
Te 0.9075 0.0925 0.2500
Te 0.6402 0.3598 0.4564
Te 0.3598 0.6402 0.5436
Te 0.0925 0.9075 0.7500
Te 0.3598 0.6402 0.9564

B comes first in stability; the runner-up is 0.033 eV/atom higher.